First-principles (PBE-GGA) data for a relaxed structure of Er3Se2S, as listed in Alexandria via LeMat-Bulk.

Results
- symmetry = P-3m1 (164)
- final energy (eV per atom) = -5.908
- crystal system = trigonal

Unit cell a=3.980 b=3.980 c=9.748 alpha=90.00 beta=90.00 gamma=120.00
Positions (direct):
Se: 0.333 0.667 0.672
Se: 0.667 0.333 0.328
Er: 0.333 0.667 0.150
Er: 0.000 0.000 0.500
Er: 0.667 0.333 0.850
S: 0.000 0.000 0.000


First-principles (PBE-GGA) data for a relaxed structure of Er3SeS3, as listed in Alexandria via LeMat-Bulk.

Results
- symmetry = I4_132 (214)
- energy above the lowest structure with this stoichiometry (meV/atom) = 0.0
- crystal system = cubic

Unit cell a=9.644 b=9.644 c=9.644 alpha=109.47 beta=109.47 gamma=109.47
Positions (direct):
Er: 0.740 0.990 0.980
Er: 0.250 0.990 0.510
Er: 0.010 0.750 0.990
Er: 0.490 0.980 0.240
Er: 0.020 0.510 0.260
Er: 0.480 0.240 0.990
Er: 0.490 0.510 0.750
Er: 0.250 0.260 0.240
Er: 0.740 0.750 0.260
Er: 0.760 0.520 0.510
Er: 0.010 0.260 0.520
Er: 0.760 0.240 0.750
S: 0.512 0.756 0.006
S: 0.256 0.006 0.012
S: 0.244 0.756 0.250
S: 0.988 0.494 0.744
S: 0.994 0.744 0.488
S: 0.244 0.488 0.494
S: 0.506 0.494 0.250
S: 0.256 0.250 0.744
S: 0.994 0.250 0.006
S: 0.750 0.006 0.494
S: 0.750 0.744 0.756
S: 0.506 0.012 0.756
Se: 0.000 0.000 0.250
Se: 0.750 0.250 0.250
Se: 0.500 0.250 0.500
Se: 0.750 0.500 0.000


First-principles (PBE-GGA) data for a relaxed structure of Er5SeS4, as listed in Alexandria via LeMat-Bulk.

Results
- symmetry = C2/m (12)
- final energy (eV per atom) = -6.181
- crystal system = monoclinic

Unit cell a=3.894 b=6.771 c=8.699 alpha=75.07 beta=77.07 gamma=73.29
Positions (direct):
Er: 0.000 0.500 0.500
Er: 0.794 0.103 0.309
Er: 0.206 0.897 0.691
Er: 0.391 0.323 0.894
Er: 0.609 0.677 0.106
S: 0.597 0.202 0.604
S: 0.403 0.798 0.396
S: 0.797 0.609 0.796
S: 0.203 0.391 0.204
Se: 0.000 0.000 0.000


First-principles (PBE-GGA) data for a relaxed structure of Er4SiSeS2, as listed in Alexandria via LeMat-Bulk.

Results
- symmetry = P2/m (10)
- final energy (eV per atom) = -6.070
- crystal system = monoclinic

Unit cell a=3.971 b=6.846 c=6.940 alpha=70.51 beta=90.00 gamma=90.00
Positions (direct):
Er: 0.500 0.758 0.234
Er: 0.000 0.750 0.759
Er: 0.000 0.250 0.241
Er: 0.500 0.242 0.766
S: 0.500 0.000 0.500
S: 0.000 0.000 0.000
Si: 0.500 0.500 0.000
Se: 0.000 0.500 0.500


One value per record, in order, for total moment: 0.0 0.0 0.0 0.0 μB/cell.